# SmZr2Fe

SmZr2Fe after structural relaxation (GGA-PBE, Alexandria via LeMat-Bulk).

Structure (extended XYZ):
```
4
Lattice="3.269 0.000 0.000 0.000 3.269 0.000 0.000 0.000 8.234" Properties=species:S:1:pos:R:3 pbc="T T T"
Sm 0.000 0.000 0.000
Zr 1.634 1.634 2.607
Zr 1.634 1.634 5.627
Fe 0.000 0.000 4.117
```

Computed properties:
**M_tot**: 0.1019 μB/atom
**DOS(E_F)**: 6.21 states/eV/cell
**VASP energy**: -7.519 eV/atom
**Space group**: P4/mmm, No. 123


# SmZr2Fe

SmZr2Fe after structural relaxation (GGA-PBE, Alexandria via LeMat-Bulk).

Structure (extended XYZ):
```
4
Lattice="1.646 0.950 9.988 -1.646 0.950 9.988 0.000 -1.900 9.988" Properties=species:S:1:pos:R:3 pbc="T T T"
Sm 0.000 0.000 0.000
Zr 0.000 0.000 3.264
Zr 0.000 0.000 26.700
Fe 0.000 0.000 14.982
```

Computed properties:
**M_tot**: 0.0522 μB/atom
**DOS(E_F)**: 5.00 states/eV/cell
**VASP energy**: -7.258 eV/atom
**Space group**: R-3m, No. 166


# Sm2ZrFe9

Sm2ZrFe9 after structural relaxation (GGA-PBE, Alexandria via LeMat-Bulk).

Structure (extended XYZ):
```
24
Lattice="5.036 0.000 0.000 -2.518 4.361 0.000 0.000 0.000 16.501" Properties=species:S:1:pos:R:3 pbc="T T T"
Sm 0.000 2.907 0.641
Sm 0.000 2.907 7.610
Sm 2.518 1.454 8.891
Sm 2.518 1.454 15.861
Zr 0.000 2.907 4.125
Zr 2.518 1.454 12.376
Fe 0.000 0.000 0.000
Fe 0.000 0.000 4.125
Fe 0.000 0.000 8.251
Fe 0.000 0.000 12.376
Fe 0.000 1.447 10.414
Fe 0.000 1.447 14.338
Fe -1.264 3.637 10.414
Fe -1.264 3.637 14.338
Fe 1.254 0.724 2.163
Fe 1.254 0.724 6.088
Fe 0.000 2.907 12.376
Fe 2.518 1.454 4.125
Fe 1.264 3.637 10.414
Fe 1.264 3.637 14.338
Fe 3.782 0.724 2.163
Fe 3.782 0.724 6.088
Fe 2.518 2.914 2.163
Fe 2.518 2.914 6.088
```

Computed properties:
**M_tot**: 1.4746 μB/atom
**DOS(E_F)**: 23.72 states/eV/cell
**VASP energy**: -7.862 eV/atom
**Space group**: P6_3/mmc, No. 194


# SmZrFe4

SmZrFe4 after structural relaxation (GGA-PBE, Alexandria via LeMat-Bulk).

Structure (extended XYZ):
```
6
Lattice="0.000 3.602 3.602 3.602 0.000 3.602 3.602 3.602 0.000" Properties=species:S:1:pos:R:3 pbc="T T T"
Sm 0.000 0.000 0.000
Zr 5.404 5.404 5.404
Fe 2.705 2.705 2.705
Fe 4.500 4.500 2.705
Fe 4.500 2.705 4.500
Fe 2.705 4.500 4.500
```

Computed properties:
**M_tot**: 1.0810 μB/atom
**DOS(E_F)**: 5.28 states/eV/cell
**VASP energy**: -7.942 eV/atom
**Space group**: F-43m, No. 216


# SmZr2Fe9

SmZr2Fe9 after structural relaxation (GGA-PBE, Alexandria via LeMat-Bulk).

Structure (extended XYZ):
```
12
Lattice="2.510 1.449 7.993 -2.510 1.449 7.993 0.000 -2.898 7.993" Properties=species:S:1:pos:R:3 pbc="T T T"
Sm 0.000 0.000 0.000
Zr 0.000 0.000 3.424
Zr 0.000 0.000 20.555
Fe -1.261 -0.728 10.025
Fe 0.000 0.000 7.977
Fe 0.000 -1.456 13.953
Fe -1.261 0.728 13.953
Fe 0.000 0.000 11.989
Fe 1.261 -0.728 10.025
Fe 0.000 1.456 10.025
Fe 0.000 0.000 16.002
Fe 1.261 0.728 13.953
```

Computed properties:
**M_tot**: 1.3708 μB/atom
**DOS(E_F)**: 9.13 states/eV/cell
**VASP energy**: -8.326 eV/atom
**Space group**: R-3m, No. 166


# Fe2Sn13

Fe2Sn13 after structural relaxation (GGA-PBE, Alexandria via LeMat-Bulk).

Structure (extended XYZ):
```
15
Lattice="7.030 0.000 0.000 -1.210 7.078 0.000 -3.317 -1.849 7.914" Properties=species:S:1:pos:R:3 pbc="T T T"
Fe -0.810 0.235 2.303
Fe 3.313 4.995 5.610
Sn 0.000 0.000 0.000
Sn -3.144 2.531 6.177
Sn -1.363 0.374 4.839
Sn -0.161 5.528 2.772
Sn -1.280 5.090 6.472
Sn 1.709 4.004 0.898
Sn 1.430 1.609 2.803
Sn 1.073 3.621 5.111
Sn 0.794 1.225 7.015
Sn 3.783 0.139 1.441
Sn 2.665 -0.298 5.142
Sn 3.866 4.855 3.075
Sn 5.648 2.699 1.736
```

Computed properties:
**M_tot**: 0.0001 μB/atom
**DOS(E_F)**: 7.57 states/eV/cell
**VASP energy**: -4.513 eV/atom
**Space group**: P-1, No. 2


# FeSn6

FeSn6 after structural relaxation (GGA-PBE, Alexandria via LeMat-Bulk).

Structure (extended XYZ):
```
14
Lattice="4.393 -3.267 0.000 4.393 3.267 0.000 0.000 0.000 12.257" Properties=species:S:1:pos:R:3 pbc="T T T"
Fe 4.393 2.827 9.193
Fe 4.393 -2.827 3.064
Sn 2.667 1.573 3.064
Sn 1.540 0.000 0.000
Sn 1.540 0.000 6.128
Sn 4.393 0.666 7.572
Sn 4.393 0.666 10.813
Sn 6.120 1.573 3.064
Sn 2.667 -1.573 9.193
Sn 4.393 -0.666 1.443
Sn 4.393 -0.666 4.685
Sn 7.247 0.000 0.000
Sn 7.247 0.000 6.128
Sn 6.120 -1.573 9.193
```

Computed properties:
**M_tot**: 0.3055 μB/atom
**DOS(E_F)**: 9.82 states/eV/cell
**VASP energy**: -4.466 eV/atom
**Space group**: Cmcm, No. 63


# Fe2Sn

Fe2Sn after structural relaxation (GGA-PBE, Alexandria via LeMat-Bulk).

Structure (extended XYZ):
```
6
Lattice="4.406 0.000 0.000 -2.203 3.816 0.000 0.000 0.000 5.254" Properties=species:S:1:pos:R:3 pbc="T T T"
Fe 0.000 0.000 0.000
Fe 0.000 0.000 2.627
Fe 0.000 2.544 1.314
Fe 2.203 1.272 3.941
Sn 0.000 2.544 3.941
Sn 2.203 1.272 1.314
```

Computed properties:
**M_tot**: 1.4727 μB/atom
**DOS(E_F)**: 5.31 states/eV/cell
**VASP energy**: -6.781 eV/atom
**Space group**: P6_3/mmc, No. 194